Ce2ThMoN5 | PBE | optimized geometry

```
Ce2ThMoN5
1.0
-3.3282 3.3282 5.7768
3.3282 -3.3282 5.7768
3.3282 3.3282 -5.7768
Ce Th Mo N
4 2 2 10
direct
0.1691 0.6691 0.8382
0.3309 0.1691 0.5000
0.6691 0.8309 0.5000
0.8309 0.3309 0.1618
0.2500 0.2500 0.0000
0.7500 0.7500 0.0000
0.2500 0.7500 0.5000
0.7500 0.2500 0.5000
0.0000 0.0000 0.0000
0.0126 0.1978 0.5000
0.1978 0.6978 0.1852
0.3022 0.4874 0.5000
0.4874 0.9874 0.1852
0.5000 0.5000 0.0000
0.5126 0.0126 0.8148
0.6978 0.5126 0.5000
0.8022 0.3022 0.8148
0.9874 0.8022 0.5000
```

## Properties
DOS(E_F) ... 0.8830 states/eV/atom
Total energy ... -164.731 eV for the cell shown